Record 1
# MgBeAl2

MgBeAl2 at its PBEsol-relaxed geometry (meta-GGA SCAN, Alexandria via LeMat-Bulk).

Energy relative to the lowest polymorph listed for this composition (meV per atom): 92
Uncorrected energy (eV per atom): -5.919
Crystal system: cubic

Structure (CIF):
```
data_MgBeAl2
_cell_length_a 4.459
_cell_length_b 4.459
_cell_length_c 4.459
_cell_angle_alpha 60.00
_cell_angle_beta 60.00
_cell_angle_gamma 60.00
_space_group_name_H-M_alt 'P 1'
_space_group_IT_number 1
loop_
_space_group_symop_operation_xyz
'x,y,z'
loop_
_atom_site_label
_atom_site_fract_x
_atom_site_fract_y
_atom_site_fract_z
Be1 0.500 0.500 0.500
Mg1 0.250 0.250 0.250
Al1 0.000 0.000 0.000
Al2 0.750 0.750 0.750
```

***

Record 2
# Mg16BeAl12

Mg16BeAl12 at its PBEsol-relaxed geometry (meta-GGA SCAN, Alexandria via LeMat-Bulk).

Uncorrected energy (eV per atom): -6.078
Crystal system: trigonal

Structure (CIF):
```
data_Mg16BeAl12
_cell_length_a 8.930
_cell_length_b 8.930
_cell_length_c 8.930
_cell_angle_alpha 108.82
_cell_angle_beta 108.82
_cell_angle_gamma 108.82
_space_group_name_H-M_alt 'P 1'
_space_group_IT_number 1
loop_
_space_group_symop_operation_xyz
'x,y,z'
loop_
_atom_site_label
_atom_site_fract_x
_atom_site_fract_y
_atom_site_fract_z
Mg1 0.579 0.300 0.579
Mg2 0.317 0.720 0.317
Mg3 0.003 0.652 0.003
Mg4 0.997 0.997 0.997
Mg5 0.406 0.005 0.682
Mg6 0.300 0.579 0.579
Mg7 0.682 0.406 0.005
Mg8 0.652 0.003 0.003
Mg9 0.005 0.682 0.406
Mg10 0.317 0.317 0.720
Mg11 0.720 0.317 0.317
Mg12 0.406 0.682 0.005
Mg13 0.003 0.003 0.652
Mg14 0.005 0.406 0.682
Mg15 0.579 0.579 0.300
Mg16 0.682 0.005 0.406
Be1 0.282 0.282 0.282
Al1 0.646 0.835 0.646
Al2 0.814 0.196 0.814
Al3 0.186 0.004 0.367
Al4 0.004 0.367 0.186
Al5 0.646 0.646 0.835
Al6 0.004 0.186 0.367
Al7 0.814 0.814 0.196
Al8 0.196 0.814 0.814
Al9 0.367 0.186 0.004
Al10 0.835 0.646 0.646
Al11 0.186 0.367 0.004
Al12 0.367 0.004 0.186
```

***

Respective ΔH_f (0 K) values: 0.2886, 0.0234 eV per atom.
Respective Fermi-level density of states values: 1.68, 10.10 states/eV per cell.